This record from the Alexandria database describes crystalline KRhSe at its relaxed geometry. The functional is PBE.

Summary:
- ΔE_f (raw): -98 kJ/mol of formula units
- Crystal system: tetragonal
- Total energy: -4.317 eV/atom
- Magnetization: 0.000 Bohr magnetons per cell

a b c (Å): 6.3103 6.3103 6.3103
angles (deg): 148.11 148.11 45.72
Last column: nearest neighbours and their distance in Å.
Fractional coordinates of all 3 atoms:
K  0.0000  0.0000  0.0000  5 Rh 3.24-3.56, 5 Se 3.27-3.53, 4 K 3.47
Rh  0.7214  0.7214  0.0000  4 Se 2.55
Se  0.2815  0.2815  0.0000  4 Rh 2.55

***

This record from the Alexandria database describes crystalline KRh2Se4 at its relaxed geometry. The functional is PBE.

Summary:
- ΔE_f (raw): -294 kJ/mol of formula units
- Crystal system: tetragonal
- Total energy: -4.684 eV/atom
- Magnetization: 0.000 Bohr magnetons per cell

a b c (Å): 7.6150 7.6150 7.6150
angles (deg): 112.49 112.49 103.59
Last column: nearest neighbours and their distance in Å.
Fractional coordinates of all 14 atoms:
K  0.3750  0.6250  0.7500  4 Se 2.97
K  0.6250  0.3750  0.2500  4 Se 2.97
Rh  0.0000  0.0000  0.0000  6 Se 2.50-2.58
Rh  0.0000  0.0000  0.5000  6 Se 2.50-2.58
Rh  0.0000  0.5000  0.0000  6 Se 2.50-2.58
Rh  0.5000  0.0000  0.5000  6 Se 2.50-2.58
Se  0.1673  0.7431  0.4242  3 Rh 2.50-2.58
Se  0.1811  0.2569  0.9242  3 Rh 2.50-2.58
Se  0.2569  0.1811  0.4242  3 Rh 2.50-2.58
Se  0.2569  0.8327  0.0758  3 Rh 2.50-2.58
Se  0.7431  0.1673  0.9242  3 Rh 2.50-2.58
Se  0.7431  0.8189  0.5758  3 Rh 2.50-2.58
Se  0.8189  0.7431  0.0758  3 Rh 2.50-2.58
Se  0.8327  0.2569  0.5758  3 Rh 2.50-2.58

***

This record from the Alexandria database describes crystalline K2RhSe at its relaxed geometry. The functional is PBE.

Summary:
- ΔE_f (raw): 16 kJ/mol of formula units
- Crystal system: tetragonal
- Total energy: -3.215 eV/atom
- Magnetization: 0.000 Bohr magnetons per cell

a b c (Å): 5.8450 5.8450 5.8450
angles (deg): 136.72 136.72 62.86
Last column: nearest neighbours and their distance in Å.
Fractional coordinates of all 4 atoms:
K  0.2500  0.7500  0.5000  4 K 3.05, 4 Se 3.30, 4 Rh 3.30
K  0.7500  0.2500  0.5000  4 K 3.05, 4 Se 3.30, 4 Rh 3.30
Rh  0.0000  0.0000  0.0000  4 Se 3.05, 8 K 3.30
Se  0.5000  0.5000  0.0000  4 Rh 3.05, 8 K 3.30

***

This record from the Alexandria database describes crystalline K2RhSe at its relaxed geometry. The functional is PBE.

Summary:
- ΔE_f (raw): -152 kJ/mol of formula units
- Crystal system: orthorhombic
- Total energy: -3.651 eV/atom
- Magnetization: 0.000 Bohr magnetons per cell

a b c (Å): 4.4635 6.0244 6.0244
angles (deg): 51.78 90.00 90.00
Last column: nearest neighbours and their distance in Å.
Fractional coordinates of all 4 atoms:
K  0.0000  0.0000  0.0000  3 Rh 3.30-3.43, 4 Se 3.65
K  0.5000  0.3003  0.3003  3 Se 3.34-3.37, 4 Rh 3.67
Rh  0.0000  0.6837  0.6837  2 Se 2.37
Se  0.5000  0.6109  0.6109  2 Rh 2.37

***

This record from the Alexandria database describes crystalline K2RhSe at its relaxed geometry. The functional is PBE.

Summary:
- ΔE_f (raw): -71 kJ/mol of formula units
- Crystal system: tetragonal
- Total energy: -3.443 eV/atom
- Magnetization: 0.000 Bohr magnetons per cell

a b c (Å): 3.5533 3.5533 9.7783
angles (deg): 90.00 90.00 90.00
Last column: nearest neighbours and their distance in Å.
Fractional coordinates of all 4 atoms:
K  0.0000  0.0000  0.0000  1 Rh 3.09
K  0.5000  0.5000  0.4260  1 Se 3.17
Rh  0.0000  0.0000  0.6836  4 Se 2.60
Se  0.5000  0.5000  0.7504  4 Rh 2.60

***

This record from the Alexandria database describes crystalline KRhSe at its relaxed geometry. The functional is PBE.

Summary:
- ΔE_f (raw): 51 kJ/mol of formula units
- Crystal system: cubic
- Total energy: -3.803 eV/atom
- Magnetization: 0.000 Bohr magnetons per cell

a b c (Å): 4.6254 4.6254 4.6254
angles (deg): 60.00 60.00 60.00
Last column: nearest neighbours and their distance in Å.
Fractional coordinates of all 3 atoms:
K  0.0000  0.0000  0.0000  4 Rh 2.83
Rh  0.2500  0.2500  0.2500  4 Se 2.83, 4 K 2.83
Se  0.5000  0.5000  0.5000  4 Rh 2.83